1.
{"formula": "BaCoPIr2", "functional": "PBE", "state": "optimized geometry", "m_tot_mub_per_fu": 1.73, "formation_energy_ev_per_atom": 2.806, "n_ef_per_ev_atom": 1.185, "energy_ev_per_cell": -18.13, "cell": [[5.121, 0.000, 0.000], [0.000, 5.121, 0.000], [0.000, 0.000, 4.779]], "species": ["Ba", "Co", "P", "Ir", "Ir"], "frac_coords": [[0.000, 0.000, 0.000], [0.000, 0.000, 0.500], [0.500, 0.500, 0.500], [0.000, 0.500, 0.000], [0.500, 0.000, 0.000]]}

***

2.
{"formula": "BaCoIrPd2", "functional": "PBE", "state": "optimized geometry", "m_tot_mub_per_fu": 3.09, "formation_energy_ev_per_atom": 0.390, "n_ef_per_ev_atom": 1.374, "energy_ev_per_cell": -26.33, "cell": [[5.072, 0.000, 0.000], [0.000, 5.072, 0.000], [0.000, 0.000, 4.607]], "species": ["Ba", "Co", "Ir", "Pd", "Pd"], "frac_coords": [[0.000, 0.000, 0.000], [0.500, 0.500, 0.000], [0.500, 0.500, 0.500], [0.000, 0.500, 0.500], [0.500, 0.000, 0.500]]}

***

3.
{"formula": "BaCo2SnIr", "functional": "PBE", "state": "optimized geometry", "m_tot_mub_per_fu": 3.07, "formation_energy_ev_per_atom": 0.748, "n_ef_per_ev_atom": 1.302, "energy_ev_per_cell": -25.26, "cell": [[4.882, 0.000, 0.000], [0.000, 4.882, 0.000], [0.000, 0.000, 5.089]], "species": ["Ba", "Co", "Co", "Sn", "Ir"], "frac_coords": [[0.000, 0.000, 0.000], [0.000, 0.500, 0.500], [0.500, 0.000, 0.500], [0.500, 0.500, 0.500], [0.500, 0.500, 0.000]]}

***

4.
{"formula": "BaCo2TcIr", "functional": "PBE", "state": "optimized geometry", "m_tot_mub_per_fu": 2.72, "formation_energy_ev_per_atom": 0.789, "n_ef_per_ev_atom": 1.169, "energy_ev_per_cell": -31.41, "cell": [[4.666, 0.000, 0.000], [0.000, 4.666, 0.000], [0.000, 0.000, 4.864]], "species": ["Ba", "Co", "Co", "Tc", "Ir"], "frac_coords": [[0.000, 0.000, 0.000], [0.000, 0.500, 0.500], [0.500, 0.000, 0.500], [0.500, 0.500, 0.500], [0.500, 0.500, 0.000]]}